# MnCoPbF6, optimized geometry, DFT GGA+U
data_MnCoPbF6
_cell_length_a 5.5590
_cell_length_b 5.5590
_cell_length_c 10.4728
_cell_angle_alpha 90.00
_cell_angle_beta 90.00
_cell_angle_gamma 120.00
_symmetry_space_group_name_H-M 'P 1'
_symmetry_Int_Tables_number 1
loop_
_symmetry_equiv_pos_as_xyz
'x,y,z'
loop_
_atom_site_label
_atom_site_fract_x
_atom_site_fract_y
_atom_site_fract_z
Mn1 0.3333 0.6667 0.2500
Mn2 0.6667 0.3333 0.7500
Co1 0.6667 0.3333 0.2500
Co2 0.3333 0.6667 0.7500
Pb1 0.0000 0.0000 0.0000
Pb2 0.0000 0.0000 0.5000
F1 0.6450 0.6352 0.1426
F2 0.9902 0.3550 0.1426
F3 0.3550 0.9902 0.6426
F4 0.0098 0.6450 0.8574
F5 0.3647 0.3550 0.3574
F6 0.9902 0.6352 0.3574
F7 0.6353 0.9902 0.8574
F8 0.6450 0.0098 0.3574
F9 0.0098 0.3648 0.6426
F10 0.3647 0.0098 0.1426
F11 0.6353 0.6450 0.6426
F12 0.3550 0.3648 0.8574
# Symmetry: P-31c (163)
# Size of the total moment, μB per formula unit: 8.0
# Raw total energy, eV per cell: -98.279